(1)
A plane-wave DFT calculation with PBE was carried out for a relaxed SiRu2Rh crystal.

Properties
M_tot (μB per cell): 0.00
SG: P2/m (10)
Crystal system: monoclinic

The structure in POSCAR format:
```
SiRu2Rh
1.0
2.785 0.000 0.000
0.000 3.928 0.000
-1.158 0.000 5.026
Si Ru Rh
1 2 1
Cartesian
0.000 0.000 0.000 Si
0.766 1.964 1.190 Ru
0.860 1.964 3.836 Ru
-0.579 0.000 2.513 Rh
```

(2)
A plane-wave DFT calculation with PBE was carried out for a relaxed BaCaTe2 crystal.

Properties
Energy above the lowest structure with this stoichiometry (meV/atom): 12
M_tot (μB per cell): 0.00
SG: Pmmn (59)
Crystal system: orthorhombic

The structure in POSCAR format:
```
BaCaTe2
1.0
4.735 0.000 0.000
0.000 6.836 0.000
0.000 0.000 9.552
Ba Ca Te
2 2 4
Cartesian
1.184 1.709 1.251 Ba
3.552 5.127 8.301 Ba
1.184 1.709 5.923 Ca
3.552 5.127 3.629 Ca
1.184 5.127 1.388 Te
1.184 5.127 5.776 Te
3.552 1.709 3.776 Te
3.552 1.709 8.164 Te
```

(3)
A plane-wave DFT calculation with PBE was carried out for a relaxed Sm2ErTm9 crystal.

Properties
Energy above the lowest structure with this stoichiometry (meV/atom): 44
M_tot (μB per cell): 0.00
SG: P6/mmm (191)
ΔH_f (0 K) (eV/f.u.): 0.9
Crystal system: hexagonal

The structure in POSCAR format:
```
Sm2ErTm9
1.0
11.100 0.000 0.000
-5.550 9.612 0.000
0.000 0.000 3.469
Sm Er Tm
2 1 9
Cartesian
0.000 6.408 0.000 Sm
5.550 3.204 0.000 Sm
0.000 0.000 0.000 Er
-2.775 4.806 0.000 Tm
0.000 3.361 1.735 Tm
-2.639 7.932 1.735 Tm
2.911 1.680 1.735 Tm
5.550 0.000 0.000 Tm
2.775 4.806 0.000 Tm
2.639 7.932 1.735 Tm
8.189 1.680 1.735 Tm
5.550 6.252 1.735 Tm
```

(4)
A plane-wave DFT calculation with PBE was carried out for a relaxed Nd12Er2Tm5 crystal.

Properties
Energy above the lowest structure with this stoichiometry (meV/atom): 8
M_tot (μB per cell): 0.00
SG: C2/m (12)
ΔH_f (0 K) (eV/f.u.): 2.2
Crystal system: monoclinic

The structure in POSCAR format:
```
Nd12Er2Tm5
1.0
7.949 -4.647 0.000
7.949 4.647 0.000
-0.240 0.000 8.710
Nd Er Tm
12 2 5
Cartesian
0.908 0.000 2.977 Nd
5.844 2.823 2.825 Nd
5.336 1.696 6.652 Nd
9.813 2.823 5.885 Nd
6.560 0.000 1.006 Nd
10.322 1.696 2.058 Nd
5.336 -1.696 6.652 Nd
9.098 0.000 7.704 Nd
5.844 -2.823 2.825 Nd
10.322 -1.696 2.058 Nd
9.813 -2.823 5.885 Nd
14.749 0.000 5.733 Nd
7.949 3.056 0.000 Er
7.949 -3.056 0.000 Er
3.171 0.000 0.217 Tm
4.182 0.000 3.759 Tm
7.829 0.000 4.355 Tm
11.475 0.000 4.952 Tm
12.486 0.000 8.494 Tm
```

E_tot
In order: -8.0233; -4.2360; -4.4490; -4.5503
Unit: eV per atom